The following is a PBE-GGA calculation of SmDySc2Sb2 after structural relaxation, from OQMD.

abc: 4.3749 4.3749 16.3596
angles: 90.00 90.00 90.00
With the nearest neighbours (Å) after each atom.
Space group I4mm (No. 107)
Asymmetric unit:
Sm (0.0000, 0.0000, 0.0000) x2  5 Sb 3.16-3.19
Dy (0.0000, 0.0000, 0.3518) x2  5 Sb 3.18-3.19
Sc (0.0000, 0.5000, 0.1773) x4  4 Sb 3.04-3.06, 4 Sc 3.09
Sb (0.0000, 0.0000, 0.5465) x2  4 Sc 3.06, 1 Dy 3.19, 4 Sm 3.19
Sb (0.0000, 0.0000, 0.8066) x2  4 Sc 3.04, 1 Sm 3.16, 4 Dy 3.18

Properties
Calculated total energy (eV/atom): -5.88
Total magnetic moment (μB per formula unit): 0.929